1.
The following is a DFT calculation (PBE) of crystalline La5Pd2Pb at its relaxed geometry.

a = 8.2979 Å, b = 8.2979 Å, c = 9.1532 Å
α = 116.95°, β = 116.95°, γ = 90.00°
Positions (direct):
La1 0.5172 0.7018 0.7190
La2 0.7018 0.2018 0.7190
La3 0.9828 0.4828 0.2810
La4 0.2018 0.0172 0.7190
La5 0.5000 0.5000 0.0000
La6 0.4828 0.2982 0.2810
La7 0.7982 0.9828 0.2810
La8 0.2982 0.7982 0.2810
La9 0.0000 0.0000 0.0000
La10 0.0172 0.5172 0.7190
Pb1 0.7500 0.7500 0.5000
Pb2 0.2500 0.2500 0.5000
Pd1 0.1332 0.3668 0.0000
Pd2 0.3668 0.8668 0.0000
Pd3 0.8668 0.6332 0.0000
Pd4 0.6332 0.1332 0.0000

Calculated values
- V (A^3/atom) = 30.23
- formation energy from the elements (eV per atom) = -0.594
- final energy (eV/atom) = -5.435
- crystal system = tetragonal
- space-group type = I4/mcm (140)

2.
The following is a DFT calculation (PBE) of crystalline Ti4Ir2Pt3 at its relaxed geometry.

a = 3.9607 Å, b = 4.7172 Å, c = 8.3998 Å
α = 77.87°, β = 90.00°, γ = 65.21°
Positions (direct):
Ti1 0.0215 0.9571 0.3364
Ti2 0.3336 0.3330 0.1125
Ti3 0.6664 0.6670 0.8875
Ti4 0.9785 0.0429 0.6636
Ir1 0.6714 0.6570 0.2141
Ir2 0.3286 0.3430 0.7859
Pt1 0.6623 0.6753 0.5649
Pt2 0.3377 0.3247 0.4351
Pt3 0.0000 0.0000 0.0000

Calculated values
- V (A^3/atom) = 15.40
- formation energy from the elements (eV per atom) = -0.849
- final energy (eV/atom) = -8.340
- crystal system = monoclinic
- space-group type = C2/m (12)

3.
The following is a DFT calculation (PBE) of crystalline GeRuN at its relaxed geometry.

a = 4.9500 Å, b = 2.9404 Å, c = 11.1561 Å
α = 90.00°, β = 95.19°, γ = 90.00°
Positions (direct):
Ge1 0.6194 0.0000 0.6907
Ge2 0.8877 0.5000 0.4411
Ge3 0.6194 0.5000 0.1907
Ge4 0.8877 0.0000 0.9411
Ru1 0.2805 0.5000 0.7905
Ru2 0.4615 0.5000 0.5178
Ru3 0.4615 0.0000 0.0178
Ru4 0.2805 0.0000 0.2905
N1 0.1694 0.0000 0.4605
N2 0.1694 0.5000 0.9605
N3 0.9813 0.0000 0.7730
N4 0.9813 0.5000 0.2730

Calculated values
- excess energy over the best structure of this formula in the dataset (meV/atom) = 137
- V (A^3/atom) = 13.48
- final energy (eV/atom) = -7.163
- crystal system = monoclinic
- energy relative to the elements, uncorrected (eV per formula unit) = 0.7
- space-group type = Cm (8)

4.
The following is a DFT calculation (PBE) of crystalline ZrGePd3 at its relaxed geometry.

a = 4.6100 Å, b = 4.6100 Å, c = 4.6100 Å
α = 90.00°, β = 90.00°, γ = 90.00°
Positions (direct):
Pd1 0.5000 0.0000 0.0000
Pd2 0.0000 0.5000 0.0000
Pd3 0.0000 0.0000 0.5000
Ge1 0.0000 0.0000 0.0000
Zr1 0.5000 0.5000 0.5000

Calculated values
- excess energy over the best structure of this formula in the dataset (meV/atom) = 150
- V (A^3/atom) = 19.59
- formation energy from the elements (eV per atom) = -0.006
- final energy (eV/atom) = -5.754
- crystal system = cubic
- space-group type = Pm-3m (221)

5.
The following is a DFT calculation (PBE) of crystalline BaNaSe2Br at its relaxed geometry.

a = 6.2873 Å, b = 6.2873 Å, c = 6.3068 Å
α = 90.00°, β = 90.00°, γ = 90.00°
Positions (direct):
Ba1 0.0000 0.0000 0.0000
Se1 0.5000 0.0000 0.0000
Se2 0.0000 0.5000 0.0000
Br1 0.0000 0.0000 0.5000
Na1 0.5000 0.5000 0.5000

Calculated values
- excess energy over the best structure of this formula in the dataset (meV/atom) = 253
- V (A^3/atom) = 49.86
- final energy (eV/atom) = -3.054
- crystal system = tetragonal
- energy relative to the elements, uncorrected (eV per formula unit) = -3.4
- space-group type = P4/mmm (123)

6.
The following is a DFT calculation (PBE) of crystalline TaCrAu2 at its relaxed geometry.

a = 5.3986 Å, b = 5.3986 Å, c = 5.3986 Å
α = 145.92°, β = 128.48°, γ = 63.22°
Positions (direct):
Au1 0.9974 0.9974 0.0000
Au2 0.2612 0.7612 0.5000
Cr1 0.5054 0.5054 0.0000
Ta1 0.7361 0.2361 0.5000

Calculated values
- excess energy over the best structure of this formula in the dataset (meV/atom) = 120
- V (A^3/atom) = 17.06
- formation energy from the elements (eV per atom) = 0.204
- final energy (eV/atom) = -6.804
- crystal system = orthorhombic
- space-group type = Imm2 (44)

7.
The following is a DFT calculation (PBE) of crystalline Na2AcTmO4 at its relaxed geometry.

a = 3.5667 Å, b = 6.2793 Å, c = 6.0418 Å
α = 111.07°, β = 90.00°, γ = 90.00°
Positions (direct):
Ac1 0.5000 0.5000 0.0000
O1 0.5000 0.7787 0.7888
O2 0.0000 0.2306 0.7851
O3 0.5000 0.2213 0.2112
O4 0.0000 0.7694 0.2149
Na1 0.5000 0.0000 0.5000
Na2 0.0000 0.5000 0.5000
Tm1 0.0000 0.0000 0.0000

Calculated values
- V (A^3/atom) = 15.78
- final energy (eV/atom) = -6.520
- crystal system = monoclinic
- energy relative to the elements, uncorrected (eV per formula unit) = -21.1
- space-group type = P2/m (10)

8.
The following is a DFT calculation (PBE) of crystalline LiNd2Ga5Co2 at its relaxed geometry.

a = 4.0898 Å, b = 9.4451 Å, c = 9.4451 Å
α = 90.00°, β = 90.00°, γ = 90.00°
Positions (direct):
Ga1 0.5000 0.5000 0.0000
Ga2 0.5000 0.7174 0.4374
Ga3 0.5000 0.7826 0.9374
Ga4 0.5000 0.9374 0.2174
Ga5 0.5000 0.0000 0.5000
Ga6 0.5000 0.2826 0.5626
Ga7 0.5000 0.5626 0.7174
Ga8 0.5000 0.2174 0.0626
Ga9 0.5000 0.4374 0.2826
Ga10 0.5000 0.0626 0.7826
Nd1 0.0000 0.6818 0.1818
Nd2 0.0000 0.3182 0.8182
Nd3 0.0000 0.8182 0.6818
Nd4 0.0000 0.1818 0.3182
Co1 0.0000 0.3866 0.1134
Co2 0.0000 0.6134 0.8866
Co3 0.0000 0.1134 0.6134
Co4 0.0000 0.8866 0.3866
Li1 0.0000 0.0000 0.0000
Li2 0.0000 0.5000 0.5000

Calculated values
- V (A^3/atom) = 18.24
- formation energy from the elements (eV per atom) = -0.410
- final energy (eV/atom) = -4.490
- crystal system = tetragonal
- space-group type = P4/mbm (127)

9.
The following is a DFT calculation (PBE) of crystalline Cd2GeSbAs at its relaxed geometry.

a = 4.9838 Å, b = 5.6385 Å, c = 4.9838 Å
α = 90.00°, β = 90.00°, γ = 90.00°
Positions (direct):
As1 0.5000 0.5000 0.5000
Sb1 0.0000 0.5000 0.0000
Ge1 0.0000 0.0000 0.0000
Cd1 0.0000 0.0000 0.5000
Cd2 0.5000 0.0000 0.0000

Calculated values
- V (A^3/atom) = 28.01
- final energy (eV/atom) = -2.496
- crystal system = tetragonal
- energy relative to the elements, uncorrected (eV per formula unit) = 2.7
- space-group type = P4/mmm (123)

10.
The following is a DFT calculation (PBE) of crystalline CsTlHSe at its relaxed geometry.

a = 7.3907 Å, b = 3.9417 Å, c = 8.3668 Å
α = 90.00°, β = 108.05°, γ = 90.00°
Positions (direct):
Cs1 0.3662 0.5000 0.5609
Cs2 0.3662 0.0000 0.0609
Tl1 0.7985 0.0000 0.9116
Tl2 0.7985 0.5000 0.4116
H1 0.6424 0.5000 0.9172
H2 0.6424 0.0000 0.4172
Se1 0.0094 0.5000 0.7672
Se2 0.0094 0.0000 0.2672

Calculated values
- excess energy over the best structure of this formula in the dataset (meV/atom) = 119
- V (A^3/atom) = 28.97
- final energy (eV/atom) = -2.754
- crystal system = monoclinic
- space-group type = Cm (8)

11.
The following is a DFT calculation (PBE) of crystalline BaCeB2O6 at its relaxed geometry.

a = 6.5511 Å, b = 6.5511 Å, c = 6.9028 Å
α = 102.54°, β = 102.54°, γ = 99.98°
Positions (direct):
Ce1 0.5974 0.4026 0.2500
Ce2 0.4026 0.5974 0.7500
O1 0.4698 0.6981 0.1025
O2 0.2063 0.2219 0.1183
O3 0.6981 0.4698 0.6025
O4 0.3019 0.5302 0.3975
O5 0.9311 0.4015 0.2025
O6 0.7781 0.7937 0.3817
O7 0.7937 0.7781 0.8817
O8 0.5985 0.0689 0.2975
O9 0.2219 0.2063 0.6183
O10 0.4015 0.9311 0.7025
O11 0.5302 0.3019 0.8975
O12 0.0689 0.5985 0.7975
B1 0.6226 0.8607 0.2592
B2 0.1393 0.3774 0.2408
B3 0.8607 0.6226 0.7592
B4 0.3774 0.1393 0.7408
Ba1 0.8604 0.1396 0.7500
Ba2 0.1396 0.8604 0.2500

Calculated values
- V (A^3/atom) = 13.73
- final energy (eV/atom) = -7.985
- crystal system = monoclinic
- energy relative to the elements, uncorrected (eV per formula unit) = -28.9
- space-group type = C2/c (15)

12.
The following is a DFT calculation (PBE) of crystalline Ti7V5In at its relaxed geometry.

a = 5.1835 Å, b = 6.9459 Å, c = 6.9459 Å
α = 81.21°, β = 68.09°, γ = 68.09°
Positions (direct):
V1 0.9712 0.5264 0.0273
V2 0.9712 0.0273 0.5264
V3 0.4751 0.5264 0.0273
V4 0.4751 0.0273 0.5264
V5 0.7520 0.7480 0.7480
Ti1 0.1713 0.3287 0.3287
Ti2 0.4530 0.5470 0.5470
Ti3 0.7994 0.2006 0.2006
Ti4 0.9559 0.7403 0.3479
Ti5 0.9559 0.3479 0.7403
Ti6 0.4559 0.2031 0.8851
Ti7 0.4559 0.8851 0.2031
In1 0.1081 0.8919 0.8919

Calculated values
- V (A^3/atom) = 16.56
- formation energy from the elements (eV per atom) = 0.159
- final energy (eV/atom) = -7.810
- crystal system = orthorhombic
- space-group type = Imm2 (44)

13.
The following is a DFT calculation (PBE) of crystalline Cu2TcO at its relaxed geometry.

a = 6.9312 Å, b = 6.9312 Å, c = 5.3050 Å
α = 49.21°, β = 49.21°, γ = 90.00°
Positions (direct):
Cu1 0.8750 0.8013 0.7500
Cu2 0.3750 0.4487 0.7500
Cu3 0.1987 0.6250 0.2500
Cu4 0.5513 0.1250 0.2500
O1 0.5000 0.5000 0.0000
O2 0.2500 0.7500 0.5000
Tc1 0.7500 0.2500 0.5000
Tc2 0.0000 0.0000 0.0000

Calculated values
- V (A^3/atom) = 12.19
- final energy (eV/atom) = -5.634
- crystal system = tetragonal
- energy relative to the elements, uncorrected (eV per formula unit) = 1.0
- space-group type = I-42d (122)

14.
The following is a DFT calculation (PBE) of crystalline ZnCrP2S at its relaxed geometry.

a = 4.3033 Å, b = 4.3033 Å, c = 4.9920 Å
α = 90.00°, β = 90.00°, γ = 90.00°
Positions (direct):
S1 0.0000 0.0000 0.5000
P1 0.5000 0.0000 0.0000
P2 0.0000 0.5000 0.0000
Cr1 0.0000 0.0000 0.0000
Zn1 0.5000 0.5000 0.5000

Calculated values
- excess energy over the best structure of this formula in the dataset (meV/atom) = 0
- V (A^3/atom) = 18.49
- final energy (eV/atom) = -4.752
- crystal system = tetragonal
- energy relative to the elements, uncorrected (eV per formula unit) = 2.1
- space-group type = P4/mmm (123)

15.
The following is a DFT calculation (PBE) of crystalline CaAlIn2 at its relaxed geometry.

a = 5.7904 Å, b = 5.7904 Å, c = 5.7904 Å
α = 133.84°, β = 133.84°, γ = 67.34°
Positions (direct):
Ca1 0.7500 0.2500 0.5000
Al1 0.5000 0.5000 0.0000
In1 0.0000 0.0000 0.0000
In2 0.2500 0.7500 0.5000

Calculated values
- V (A^3/atom) = 24.83
- formation energy from the elements (eV per atom) = -0.169
- final energy (eV/atom) = -2.974
- crystal system = tetragonal
- space-group type = I-4m2 (119)

16.
The following is a DFT calculation (PBE) of crystalline AsIr2Au at its relaxed geometry.

a = 4.1414 Å, b = 2.9786 Å, c = 5.3819 Å
α = 75.22°, β = 90.00°, γ = 90.00°
Positions (direct):
Ir1 0.0000 0.1129 0.0193
Ir2 0.0000 0.3871 0.4807
As1 0.5000 0.2500 0.2500
Au1 0.5000 0.7500 0.7500

Calculated values
- V (A^3/atom) = 16.05
- formation energy from the elements (eV per atom) = 0.281
- final energy (eV/atom) = -6.131
- crystal system = monoclinic
- space-group type = P2/m (10)

17.
The following is a DFT calculation (PBE) of crystalline La8DyTm4 at its relaxed geometry.

a = 7.1877 Å, b = 7.1877 Å, c = 10.8950 Å
α = 90.00°, β = 109.26°, γ = 120.00°
Positions (direct):
La1 0.0365 0.2474 0.2839
La2 0.0365 0.7891 0.2839
La3 0.4948 0.2474 0.2839
La4 0.9635 0.2109 0.7161
La5 0.5806 0.7903 0.3710
La6 0.5052 0.7526 0.7161
La7 0.9635 0.7526 0.7161
La8 0.4194 0.2097 0.6290
Tm1 0.0000 0.5000 0.0000
Tm2 0.0000 0.0000 0.0000
Tm3 0.5000 0.0000 0.0000
Tm4 0.5000 0.5000 0.0000
Dy1 0.0000 0.5000 0.5000

Calculated values
- V (A^3/atom) = 34.67
- formation energy from the elements (eV per atom) = 0.169
- final energy (eV/atom) = -4.593
- crystal system = trigonal
- space-group type = R-3m (166)

18.
The following is a DFT calculation (PBE) of crystalline Sm2Pd5Au2 at its relaxed geometry.

a = 4.6444 Å, b = 8.7783 Å, c = 10.1830 Å
α = 115.53°, β = 103.18°, γ = 90.00°
Positions (direct):
Pd1 0.7016 0.6000 0.9031
Pd2 0.3846 0.0475 0.2981
Pd3 0.4136 0.5475 0.2981
Pd4 0.0211 0.6485 0.5000
Pd5 0.2985 0.1969 0.0969
Pd6 0.7015 0.1000 0.9031
Pd7 0.9789 0.1485 0.5000
Pd8 0.5864 0.2493 0.7019
Pd9 0.6154 0.7493 0.7019
Pd10 0.2984 0.6969 0.0969
Au1 0.0000 0.8985 0.0000
Au2 0.4999 0.3983 0.5000
Au3 0.5000 0.3985 0.0000
Au4 0.5001 0.8983 0.5000
Sm1 0.8841 0.7826 0.2682
Sm2 0.8841 0.2826 0.2682
Sm3 0.1159 0.0144 0.7318
Sm4 0.1159 0.5144 0.7318

Calculated values
- V (A^3/atom) = 20.14
- formation energy from the elements (eV per atom) = -0.575
- final energy (eV/atom) = -5.237
- crystal system = orthorhombic
- space-group type = Imma (74)

19.
The following is a DFT calculation (PBE) of crystalline PrNiHg at its relaxed geometry.

a = 4.1337 Å, b = 6.6063 Å, c = 5.5927 Å
α = 75.07°, β = 68.31°, γ = 71.77°
Positions (direct):
Ni1 0.8687 0.6581 0.6045
Ni2 0.1313 0.3419 0.3955
Hg1 0.8184 0.0921 0.2710
Hg2 0.1816 0.9079 0.7290
Pr1 0.5620 0.6830 0.1931
Pr2 0.4380 0.3170 0.8069

Calculated values
- V (A^3/atom) = 22.17
- formation energy from the elements (eV per atom) = -0.376
- final energy (eV/atom) = -3.997
- crystal system = monoclinic
- space-group type = C2/m (12)

20.
The following is a DFT calculation (PBE) of crystalline SrNdHo2 at its relaxed geometry.

a = 3.6309 Å, b = 3.6309 Å, c = 12.9900 Å
α = 81.97°, β = 81.97°, γ = 60.00°
Positions (direct):
Nd1 0.5000 0.5000 0.5000
Sr1 0.0000 0.0000 0.0000
Ho1 0.9078 0.9078 0.2766
Ho2 0.0922 0.0922 0.7234

Calculated values
- excess energy over the best structure of this formula in the dataset (meV/atom) = 104
- V (A^3/atom) = 36.59
- formation energy from the elements (eV per atom) = 0.229
- final energy (eV/atom) = -3.672
- crystal system = trigonal
- space-group type = R-3m (166)

21.
The following is a DFT calculation (PBE) of crystalline Ac5Sm6Y2 at its relaxed geometry.

a = 3.8114 Å, b = 11.9631 Å, c = 21.8886 Å
α = 90.00°, β = 90.00°, γ = 90.00°
Positions (direct):
Sm1 0.0000 0.8396 0.6194
Sm2 0.5000 0.5831 0.8475
Sm3 0.0000 0.7750 0.9418
Sm4 0.5000 0.9169 0.3475
Sm5 0.5000 0.0831 0.6525
Sm6 0.0000 0.1604 0.3806
Sm7 0.0000 0.7250 0.4418
Sm8 0.0000 0.2250 0.0582
Sm9 0.5000 0.4169 0.1525
Sm10 0.0000 0.6604 0.1194
Sm11 0.0000 0.2750 0.5582
Sm12 0.0000 0.3396 0.8806
Ac1 0.5000 0.8545 0.7772
Ac2 0.5000 0.1455 0.2228
Ac3 0.5000 0.0702 0.9256
Ac4 0.5000 0.4298 0.4256
Ac5 0.5000 0.9298 0.0744
Ac6 0.5000 0.0000 0.5000
Ac7 0.5000 0.3545 0.7228
Ac8 0.5000 0.5702 0.5744
Ac9 0.5000 0.5000 0.0000
Ac10 0.5000 0.6455 0.2772
Y1 0.0000 0.6161 0.7166
Y2 0.0000 0.3839 0.2834
Y3 0.0000 0.1161 0.7834
Y4 0.0000 0.8839 0.2166

Calculated values
- V (A^3/atom) = 38.39
- formation energy from the elements (eV per atom) = 0.083
- final energy (eV/atom) = -4.670
- crystal system = orthorhombic
- space-group type = Pbam (55)

22.
The following is a DFT calculation (PBE) of crystalline ZnCr2Ru at its relaxed geometry.

a = 2.6556 Å, b = 2.6556 Å, c = 7.3800 Å
α = 90.00°, β = 90.00°, γ = 90.00°
Positions (direct):
Cr1 0.0000 0.0000 0.0117
Cr2 0.5000 0.5000 0.2545
Ru1 0.0000 0.0000 0.4823
Zn1 0.5000 0.5000 0.7514

Calculated values
- V (A^3/atom) = 13.01
- formation energy from the elements (eV per atom) = 0.204
- final energy (eV/atom) = -7.245
- crystal system = tetragonal
- space-group type = P4mm (99)

23.
The following is a DFT calculation (PBE) of crystalline HgPtSe2 at its relaxed geometry.

a = 6.1742 Å, b = 6.1742 Å, c = 6.1742 Å
α = 143.26°, β = 143.26°, γ = 52.94°
Positions (direct):
Se1 0.5000 0.5000 0.0000
Se2 0.0000 0.0000 0.0000
Hg1 0.2500 0.7500 0.5000
Pt1 0.7500 0.2500 0.5000

Calculated values
- excess energy over the best structure of this formula in the dataset (meV/atom) = 726
- V (A^3/atom) = 20.93
- final energy (eV/atom) = -2.895
- crystal system = tetragonal
- energy relative to the elements, uncorrected (eV per formula unit) = 1.7
- space-group type = I4/mmm (139)